NaSrPdO3: optimized geometry, GGA-PBE.

Unit cell a=6.7237 b=6.7237 c=5.6859 alpha=97.09 beta=97.09 gamma=133.45
Atoms (fractional coordinates):
Na 0.2443 0.7557 0.7500
Na 0.7557 0.2443 0.2500
Sr 0.4183 0.5817 0.2500
Sr 0.5817 0.4183 0.7500
Pd 0.0699 0.9301 0.2500
Pd 0.9301 0.0699 0.7500
O 0.1363 0.2772 0.5008
O 0.2269 0.7731 0.2500
O 0.2772 0.1363 0.0008
O 0.7228 0.8637 0.9992
O 0.7731 0.2269 0.7500
O 0.8637 0.7228 0.4992

Summary:
The density of states at the Fermi level comes out at 0.9 states/eV/cell. The calculation puts the energy at -5.18 eV per atom. The calculated density is 4.966 Mg/m³.


Y2CrRe: optimized geometry, GGA-PBE.

Unit cell a=6.2664 b=6.2664 c=6.2664 alpha=103.28 beta=103.28 gamma=122.73
Atoms (fractional coordinates):
Y 0.1161 0.6250 0.9911
Y 0.3750 0.3661 0.4911
Y 0.6339 0.1250 0.0089
Y 0.8750 0.8839 0.5089
Cr 0.2500 0.7500 0.5000
Cr 0.5000 0.5000 0.0000
Re 0.0000 0.0000 0.0000
Re 0.7500 0.2500 0.5000

Summary:
The density of states at the Fermi level comes out at 10.2 states/eV/cell. The calculation puts the energy above the lowest structure with this stoichiometry at 713 meV/atom. The calculation puts the energy at -7.87 eV per atom. The calculated density is 7.604 Mg/m³. The formation energy is 0.88 eV per atom.


ZnGaTeI2: optimized geometry, GGA-PBE.

Unit cell a=5.6135 b=5.6135 c=5.5315 alpha=90.00 beta=90.00 gamma=90.00
Atoms (fractional coordinates):
Zn 0.0000 0.0000 0.0000
Ga 0.5000 0.5000 0.5000
Te 0.5000 0.5000 0.0000
I 0.0000 0.5000 0.5000
I 0.5000 0.0000 0.5000

Summary:
The density of states at the Fermi level comes out at 2.0 states/eV/cell. The calculation puts the energy above the lowest structure with this stoichiometry at 184 meV/atom. The calculation puts the energy at -1.92 eV per atom. The calculated density is 4.921 Mg/m³.


SmSbRh3: optimized geometry, GGA-PBE.

Unit cell a=6.9831 b=6.9831 c=6.9831 alpha=129.32 beta=80.45 gamma=122.15
Atoms (fractional coordinates):
Sm 0.3079 0.0579 0.2500
Sm 0.6921 0.9421 0.7500
Sb 0.0000 0.5000 0.5000
Sb 0.5000 0.5000 0.0000
Rh 0.1310 0.0000 0.6310
Rh 0.1310 0.5000 0.1310
Rh 0.2751 0.5251 0.7500
Rh 0.7249 0.4749 0.2500
Rh 0.8690 0.0000 0.3690
Rh 0.8690 0.5000 0.8690

Summary:
The density of states at the Fermi level comes out at 7.3 states/eV/cell. The calculation puts the energy above the lowest structure with this stoichiometry at 170 meV/atom. The calculation puts the energy at -6.58 eV per atom. The calculated density is 8.962 Mg/m³.


TbEr4S5: optimized geometry, GGA-PBE.

Unit cell a=10.2595 b=10.2595 c=10.2595 alpha=158.20 beta=149.06 gamma=38.17
Atoms (fractional coordinates):
Tb 0.0000 0.0000 0.0000
Er 0.2007 0.2007 0.0000
Er 0.4003 0.4003 0.0000
Er 0.5997 0.5997 0.0000
Er 0.7993 0.7993 0.0000
S 0.1021 0.6021 0.5000
S 0.3004 0.8004 0.5000
S 0.5000 0.0000 0.5000
S 0.6996 0.1996 0.5000
S 0.8979 0.3979 0.5000

Summary:
The density of states at the Fermi level comes out at 4.3 states/eV/cell. The calculation puts the energy at -6.31 eV per atom. The calculated density is 7.971 Mg/m³.


SmVSi2: optimized geometry, GGA-PBE.

Unit cell a=3.2372 b=3.2372 c=6.6279 alpha=90.00 beta=90.00 gamma=90.00
Atoms (fractional coordinates):
Sm 0.0000 0.0000 0.0000
V 0.0000 0.0000 0.5000
Si 0.5000 0.5000 0.3164
Si 0.5000 0.5000 0.6836

Summary:
The density of states at the Fermi level comes out at 4.1 states/eV/cell. The calculation puts the energy above the lowest structure with this stoichiometry at 73 meV/atom. The calculation puts the energy at -6.49 eV per atom. The calculated density is 6.156 Mg/m³.


Cu7NiAu4: optimized geometry, GGA-PBE.

Unit cell a=4.6151 b=5.6640 c=6.9708 alpha=73.61 beta=87.25 gamma=89.40
Atoms (fractional coordinates):
Cu 0.0000 0.0000 0.0000
Cu 0.2549 0.4074 0.9572
Cu 0.2770 0.2035 0.6597
Cu 0.2855 0.6895 0.6211
Cu 0.7145 0.3105 0.3789
Cu 0.7230 0.7965 0.3403
Cu 0.7451 0.5926 0.0428
Ni 0.5000 0.0000 0.0000
Au 0.2205 0.0811 0.3213
Au 0.2306 0.5948 0.2609
Au 0.7694 0.4052 0.7391
Au 0.7795 0.9189 0.6787

Summary:
The density of states at the Fermi level comes out at 5.1 states/eV/cell. The calculation puts the energy at -3.89 eV per atom. The calculated density is 12.281 Mg/m³. The formation energy is 0.07 eV per atom.


BeTePt: optimized geometry, GGA-PBE.

Unit cell a=9.5221 b=3.6249 c=3.6249 alpha=60.26 beta=90.00 gamma=90.00
Atoms (fractional coordinates):
Be 0.1125 0.0000 0.0000
Be 0.8875 0.0000 0.0000
Te 0.3064 0.5976 0.5976
Te 0.6936 0.5976 0.5976
Pt 0.0000 0.3311 0.3311
Pt 0.5000 0.2840 0.2840

Summary:
The density of states at the Fermi level comes out at 3.0 states/eV/cell. The calculation puts the energy at -4.31 eV per atom. The calculated density is 10.140 Mg/m³.